No. 1
Density functional theory data (GGA-PBEsol) for SrRe2Pb after structural relaxation.

Cell lengths 2.8201, 2.8201, 10.2366 Å; angles 90.00, 90.00, 90.00 degrees
Sites, in units of the cell vectors:
1 Re 0.0000 0.0000 0.2541
2 Re 0.0000 0.0000 0.7459
3 Sr 0.5000 0.5000 0.0000
4 Pb 0.5000 0.5000 0.5000

formation enthalpy at 0 K = 1.41 eV per atom
uncorrected energy = -6.72 eV/atom
symmetry = No. 123
size of the total moment = 0.000 μB per atom
DOS at the Fermi energy = 3.5 states/eV per cell

=====

No. 2
Density functional theory data (GGA-PBEsol) for SrRe2Pb after structural relaxation.

Cell lengths 2.8185, 5.4515, 5.9411 Å; angles 116.06, 101.51, 94.70 degrees
Sites, in units of the cell vectors:
1 Re 0.5000 0.5000 0.5000
2 Re 0.0000 0.0000 0.5000
3 Pb 0.0000 0.5000 0.0000
4 Sr 0.5000 0.0000 0.0000

formation enthalpy at 0 K = 1.23 eV per atom
uncorrected energy = -6.90 eV/atom
symmetry = No. 12
size of the total moment = 0.000 μB per atom
DOS at the Fermi energy = 4.4 states/eV per cell

=====

No. 3
Density functional theory data (GGA-PBEsol) for Ta2RePb after structural relaxation.

Cell lengths 3.1807, 3.9034, 5.9872 Å; angles 90.00, 90.00, 90.00 degrees
Sites, in units of the cell vectors:
1 Pb 0.0000 0.0000 0.4994
2 Ta 0.5000 0.5000 0.2177
3 Ta 0.0000 0.0000 0.9883
4 Re 0.5000 0.5000 0.7946

formation enthalpy at 0 K = 0.38 eV per atom
uncorrected energy = -10.23 eV/atom
symmetry = No. 25
size of the total moment = 0.000 μB per atom
DOS at the Fermi energy = 2.6 states/eV per cell

=====

No. 4
Density functional theory data (GGA-PBEsol) for TaRePb2 after structural relaxation.

Cell lengths 3.2770, 5.0972, 5.6835 Å; angles 116.64, 106.76, 90.00 degrees
Sites, in units of the cell vectors:
1 Ta 0.0000 0.5000 0.0000
2 Re 0.5000 0.0000 0.0000
3 Pb 0.7648 0.7648 0.5296
4 Pb 0.2352 0.2352 0.4704

formation enthalpy at 0 K = 0.94 eV per atom
uncorrected energy = -7.53 eV/atom
symmetry = No. 71
size of the total moment = 0.000 μB per atom
DOS at the Fermi energy = 3.2 states/eV per cell

=====

No. 5
Density functional theory data (GGA-PBEsol) for TaRePb2 after structural relaxation.

Cell lengths 3.3764, 4.7757, 4.7757 Å; angles 90.00, 90.00, 90.00 degrees
Sites, in units of the cell vectors:
1 Ta 0.5000 0.0000 0.0000
2 Pb 0.0000 0.0000 0.5000
3 Pb 0.0000 0.5000 0.0000
4 Re 0.5000 0.5000 0.5000

formation enthalpy at 0 K = 0.98 eV per atom
uncorrected energy = -7.49 eV/atom
symmetry = No. 123
size of the total moment = 0.000 μB per atom
DOS at the Fermi energy = 4.4 states/eV per cell

=====

No. 6
Density functional theory data (GGA-PBEsol) for Ta2RePb after structural relaxation.

Cell lengths 3.4400, 4.6121, 5.3396 Å; angles 115.59, 108.79, 90.00 degrees
Sites, in units of the cell vectors:
1 Pb 0.0000 0.5000 0.0000
2 Ta 0.2353 0.2353 0.4706
3 Ta 0.7647 0.7647 0.5294
4 Re 0.5000 0.0000 0.0000

formation enthalpy at 0 K = 0.36 eV per atom
uncorrected energy = -10.25 eV/atom
symmetry = No. 71
size of the total moment = 0.000 μB per atom
DOS at the Fermi energy = 2.8 states/eV per cell